A plane-wave DFT calculation with GGA-PBE was carried out for a geometry-optimized TlSe3 structure.

Structure (extended XYZ):
```
4
Lattice="7.048 -0.017 -0.010 5.760 4.062 -0.010 5.760 1.819 3.632" Properties=species:S:1:pos:R:3 pbc="T T T"
Se 14.190 4.482 2.760
Se 9.283 2.932 1.806
Se 4.377 1.383 0.851
Tl 0.000 0.000 0.000
```

Results
The value obtained for the density of states at the Fermi level is 2.721 states/eV per cell. As for the raw formation energy: 0.0586 eV/atom.